VASP calculation (PBE) on a relaxed LaMnS2 crystal.

**Total DFT energy (no corrections)**: -6.2524 eV/atom
**ΔE to the lowest computed polymorph**: 0.247 eV per atom
**Raw formation energy**: -664 meV/atom
**Size of the total moment**: 0.000 μB per formula unit
**Symmetry**: R-3m (166)

a b c (Å): 7.505 7.505 7.505
angles (deg): 34.47 34.47 34.47
Atoms (fractional coordinates):
1 La 0.000 0.000 0.000
2 Mn 0.500 0.500 0.500
3 S 0.396 0.396 0.396
4 S 0.604 0.604 0.604